This record from Alexandria describes CeSe2 after structural relaxation. The functional is PBE-GGA.

Cell: 7.0332 7.3554 7.6531 Å, 110.57 106.20 102.00°
Space group P1 (No. 1)
One atom of each set of equivalent atoms:
1 Ce 0.0000 0.0000 0.0000 x1
2 Ce 0.1329 0.6207 0.2676 x1
3 Ce 0.3936 0.6129 0.7855 x1
4 Ce 0.7462 0.2241 0.5049 x1
5 Se 0.0127 0.6639 0.6149 x1
6 Se 0.1429 0.3111 0.8675 x1
7 Se 0.3611 0.3641 0.3849 x1
8 Se 0.3722 0.8846 0.1452 x1
9 Se 0.5770 0.9181 0.6585 x1
10 Se 0.7778 0.5538 0.8964 x1
11 Se 0.7817 0.2638 0.1504 x1
12 Se 0.9621 0.9504 0.3528 x1

Volume ... 334.7 Å³ per cell
Energy ... -5.82 eV/atom
Energy relative to the elements, uncorrected ... -1.52 eV/atom



This record from Alexandria describes CeSe2 after structural relaxation. The functional is PBE-GGA.

Cell: 6.7536 7.7092 8.4969 Å, 90.00 125.88 90.00°
Space group Pc (No. 7)
One atom of each set of equivalent atoms:
1 Ce 0.0000 0.0609 0.0000 x2
2 Ce 0.1919 0.4177 0.7139 x2
3 Se 0.0145 0.2718 0.2999 x2
4 Se 0.3658 0.3232 0.0959 x2
5 Se 0.4577 0.1106 0.7806 x2
6 Se 0.8103 0.2030 0.6223 x2

Volume ... 358.5 Å³ per cell
Energy ... -5.75 eV/atom
Energy relative to the elements, uncorrected ... -1.45 eV/atom



This record from Alexandria describes CeSe2 after structural relaxation. The functional is PBE-GGA.

Cell: 4.1942 4.1942 25.7715 Å, 90.00 90.00 120.00°
Space group P-6m2 (No. 187)
One atom of each set of equivalent atoms:
1 Ce 0.0000 0.0000 0.0000 x1
2 Ce 0.0000 0.0000 0.2534 x2
3 Ce 0.6667 0.3333 0.5000 x1
4 Se 0.0000 0.0000 0.4362 x2
5 Se 0.3333 0.6667 0.0639 x2
6 Se 0.3333 0.6667 0.3114 x2
7 Se 0.6667 0.3333 0.1950 x2

Volume ... 392.6 Å³ per cell
Energy ... -5.74 eV/atom
Energy relative to the elements, uncorrected ... -1.44 eV/atom



This record from Alexandria describes CeSe2 after structural relaxation. The functional is PBE-GGA.

Cell: 8.3294 8.3294 8.3294 Å, 90.00 90.00 90.00°
Space group Fd-3m (No. 227, origin choice 2)
One atom of each set of equivalent atoms:
1 Ce 0.1250 0.1250 0.1250 x8
2 Se 0.0000 0.0000 0.5000 x16

Volume ... 577.9 Å³ per cell
Energy ... -4.72 eV/atom
Energy relative to the elements, uncorrected ... -0.42 eV/atom



This record from Alexandria describes CeSe2 after structural relaxation. The functional is PBE-GGA.

Cell: 3.8342 3.8342 9.4092 Å, 90.00 90.00 90.00°
Space group I4/mmm (No. 139)
One atom of each set of equivalent atoms:
1 Ce 0.0000 0.0000 0.0000 x2
2 Se 0.0000 0.0000 0.3468 x4

Volume ... 138.3 Å³ per cell
Energy ... -5.76 eV/atom
Energy relative to the elements, uncorrected ... -1.46 eV/atom



This record from Alexandria describes CeSe2 after structural relaxation. The functional is PBE-GGA.

Cell: 12.5373 12.5373 12.5373 Å, 90.00 90.00 90.00°
Space group Fd-3m (No. 227, origin choice 2)
One atom of each set of equivalent atoms:
1 Ce 0.1250 0.1250 0.1250 x8
2 Se 0.0000 0.0000 0.0000 x16

Volume ... 1970.7 Å³ per cell
Energy ... -5.38 eV/atom
Energy relative to the elements, uncorrected ... -1.08 eV/atom



This record from Alexandria describes CeSe2 after structural relaxation. The functional is PBE-GGA.

Cell: 4.1827 4.1827 39.4209 Å, 90.00 90.00 120.00°
Space group R3m (No. 160, hexagonal axes)
One atom of each set of equivalent atoms:
1 Ce 0.0000 0.0000 0.0000 x3
2 Ce 0.0000 0.0000 0.1667 x3
3 Se 0.0000 0.0000 0.2949 x3
4 Se 0.0000 0.0000 0.4582 x3
5 Se 0.0000 0.0000 0.5418 x3
6 Se 0.0000 0.0000 0.7051 x3

Volume ... 597.3 Å³ per cell
Energy ... -5.74 eV/atom
Energy relative to the elements, uncorrected ... -1.44 eV/atom



This record from Alexandria describes CeSe2 after structural relaxation. The functional is PBE-GGA.

Cell: 7.6781 13.2843 5.5518 Å, 90.00 116.56 90.00°
Space group Cm (No. 8)
One atom of each set of equivalent atoms:
1 Ce 0.0000 0.0000 0.0000 x2
2 Ce 0.0599 0.3320 0.2020 x4
3 Se 0.2601 0.3190 0.8485 x4
4 Se 0.2612 0.1465 0.3694 x4
5 Se 0.3359 0.0000 0.8982 x2
6 Se 0.3368 0.5000 0.4037 x2

Volume ... 506.5 Å³ per cell
Energy ... -5.86 eV/atom
Energy relative to the elements, uncorrected ... -1.56 eV/atom



This record from Alexandria describes CeSe2 after structural relaxation. The functional is PBE-GGA.

Cell: 5.5941 10.0752 7.4824 Å, 90.00 108.68 90.00°
Space group P2_1 (No. 4)
One atom of each set of equivalent atoms:
1 Ce 0.0846 0.0000 0.4621 x2
2 Ce 0.4145 0.8514 0.0384 x2
3 Se 0.0620 0.3990 0.9113 x2
4 Se 0.1300 0.7590 0.6705 x2
5 Se 0.3690 0.0924 0.8300 x2
6 Se 0.4390 0.4524 0.5882 x2

Volume ... 399.5 Å³ per cell
Energy ... -5.77 eV/atom
Energy relative to the elements, uncorrected ... -1.46 eV/atom



This record from Alexandria describes CeSe2 after structural relaxation. The functional is PBE-GGA.

Cell: 6.8772 7.1700 7.0916 Å, 90.00 102.02 90.00°
Space group P2_1/c (No. 14)
One atom of each set of equivalent atoms:
1 Ce 0.2088 0.0565 0.3047 x4
2 Se 0.0748 0.7393 0.5137 x4
3 Se 0.4321 0.1477 0.6835 x4

Volume ... 342.0 Å³ per cell
Energy ... -5.88 eV/atom
Energy relative to the elements, uncorrected ... -1.58 eV/atom



This record from Alexandria describes CeSe2 after structural relaxation. The functional is PBE-GGA.

Cell: 5.5051 5.5051 7.8361 Å, 90.00 90.00 120.00°
Space group P6_222 (No. 180)
One atom of each set of equivalent atoms:
1 Ce 0.0000 0.5000 0.1667 x3
2 Se 0.1730 0.3461 0.5000 x6

Volume ... 205.7 Å³ per cell
Energy ... -5.69 eV/atom
Energy relative to the elements, uncorrected ... -1.39 eV/atom



This record from Alexandria describes CeSe2 after structural relaxation. The functional is PBE-GGA.

Cell: 14.1156 14.1156 13.6059 Å, 90.00 90.00 120.00°
Space group R-3 (No. 148, hexagonal axes)
One atom of each set of equivalent atoms:
1 Ce 0.0021 0.3539 0.2443 x18
2 Se 0.0000 0.5000 0.0000 x9
3 Se 0.0000 0.5000 0.5000 x9
4 Se 0.0111 0.4525 0.7450 x18

Volume ... 2347.8 Å³ per cell
Energy ... -5.57 eV/atom
Energy relative to the elements, uncorrected ... -1.27 eV/atom



This record from Alexandria describes CeSe2 after structural relaxation. The functional is PBE-GGA.

Cell: 4.2037 4.2037 8.2892 Å, 90.00 90.00 90.00°
Space group P4/nmm (No. 129, origin choice 2)
One atom of each set of equivalent atoms:
1 Ce 0.2500 0.2500 0.2313 x2
2 Se 0.2500 0.2500 0.8641 x2
3 Se 0.2500 0.7500 0.5000 x2

Volume ... 146.5 Å³ per cell
Energy ... -5.89 eV/atom
Energy relative to the elements, uncorrected ... -1.59 eV/atom



This record from Alexandria describes CeSe2 after structural relaxation. The functional is PBE-GGA.

Cell: 7.2489 7.8478 5.6213 Å, 90.00 90.00 90.00°
Space group Pbcm (No. 57)
One atom of each set of equivalent atoms:
1 Ce 0.2499 0.0526 0.2500 x4
2 Se 0.0647 0.7500 0.0000 x4
3 Se 0.3790 0.0943 0.7500 x4

Volume ... 319.8 Å³ per cell
Energy ... -5.95 eV/atom
Energy relative to the elements, uncorrected ... -1.65 eV/atom



This record from Alexandria describes CeSe2 after structural relaxation. The functional is PBE-GGA.

Cell: 14.6618 26.9773 5.4134 Å, 90.00 90.00 90.00°
Space group Fdd2 (No. 43)
One atom of each set of equivalent atoms:
1 Ce 0.0000 0.0000 0.0000 x8
2 Ce 0.0696 0.1387 0.7782 x16
3 Se 0.0085 0.4428 0.0013 x16
4 Se 0.0783 0.2982 0.1572 x16
5 Se 0.1006 0.4045 0.5220 x16

Volume ... 2141.2 Å³ per cell
Energy ... -5.77 eV/atom
Energy relative to the elements, uncorrected ... -1.46 eV/atom



This record from Alexandria describes CeSe2 after structural relaxation. The functional is PBE-GGA.

Cell: 8.9170 8.9170 17.9554 Å, 90.00 90.00 90.00°
Space group I4_122 (No. 98)
One atom of each set of equivalent atoms:
1 Ce 0.1677 0.7500 0.1250 x8
2 Se 0.0000 0.0000 0.1008 x8
3 Se 0.1745 0.6745 0.7500 x8

Volume ... 1427.7 Å³ per cell
Energy ... -5.39 eV/atom
Energy relative to the elements, uncorrected ... -1.09 eV/atom



This record from Alexandria describes CeSe2 after structural relaxation. The functional is PBE-GGA.

Cell: 4.1533 4.8589 6.6974 Å, 90.00 90.00 90.00°
Space group Pmmm (No. 47)
One atom of each set of equivalent atoms:
1 Ce 0.0000 0.0000 0.0000 x1
2 Se 0.5000 0.0000 0.2678 x2

Volume ... 135.2 Å³ per cell
Energy ... -5.18 eV/atom
Energy relative to the elements, uncorrected ... -0.88 eV/atom



This record from Alexandria describes CeSe2 after structural relaxation. The functional is PBE-GGA.

Cell: 14.6031 14.6031 5.3817 Å, 90.00 90.00 120.00°
Space group P-31m (No. 162)
One atom of each set of equivalent atoms:
1 Ce 0.0000 0.3304 0.2456 x6
2 Se 0.0000 0.5000 0.0000 x3
3 Se 0.0000 0.5000 0.5000 x3
4 Se 0.1664 0.3328 0.0000 x6

Volume ... 993.9 Å³ per cell
Energy ... -5.32 eV/atom
Energy relative to the elements, uncorrected ... -1.02 eV/atom



This record from Alexandria describes CeSe2 after structural relaxation. The functional is PBE-GGA.

Cell: 4.0785 4.0785 13.3168 Å, 90.00 90.00 120.00°
Space group P6_3/mmc (No. 194)
One atom of each set of equivalent atoms:
1 Ce 0.0000 0.0000 0.2500 x2
2 Se 0.3333 0.6667 0.1231 x4

Volume ... 191.8 Å³ per cell
Energy ... -5.65 eV/atom
Energy relative to the elements, uncorrected ... -1.35 eV/atom



This record from Alexandria describes CeSe2 after structural relaxation. The functional is PBE-GGA.

Cell: 4.1100 6.7966 7.5356 Å, 90.00 90.00 90.00°
Space group Pmmm (No. 47)
One atom of each set of equivalent atoms:
1 Ce 0.0000 0.0000 0.0000 x1
2 Se 0.5000 0.0000 0.2429 x2

Volume ... 210.5 Å³ per cell
Energy ... -5.26 eV/atom
Energy relative to the elements, uncorrected ... -0.96 eV/atom



This record from Alexandria describes CeSe2 after structural relaxation. The functional is PBE-GGA.

Cell: 6.2372 7.4363 14.3585 Å, 90.00 90.00 90.00°
Space group Pcca (No. 54)
One atom of each set of equivalent atoms:
1 Ce 0.1255 0.2335 0.1222 x8
2 Se 0.0000 0.0444 0.7500 x4
3 Se 0.0000 0.5000 0.0000 x4
4 Se 0.2500 0.0000 0.4690 x4
5 Se 0.2500 0.5000 0.2616 x4

Volume ... 666.0 Å³ per cell
Energy ... -5.63 eV/atom
Energy relative to the elements, uncorrected ... -1.33 eV/atom



This record from Alexandria describes CeSe2 after structural relaxation. The functional is PBE-GGA.

Cell: 4.1835 4.1835 26.1914 Å, 90.00 90.00 120.00°
Space group P6_3/mmc (No. 194)
One atom of each set of equivalent atoms:
1 Ce 0.0000 0.0000 0.0000 x2
2 Ce 0.0000 0.0000 0.2500 x2
3 Se 0.3333 0.6667 0.0577 x4
4 Se 0.3333 0.6667 0.6870 x4

Volume ... 397.0 Å³ per cell
Energy ... -5.74 eV/atom
Energy relative to the elements, uncorrected ... -1.44 eV/atom